The following is a GGA-PBE calculation of crystalline PIrSe at its relaxed geometry, from the Alexandria database.

Results
- ΔE_f (raw): 0.9 eV per formula unit
- E: -5.625 eV per atom

abc: 2.8278 4.9578 15.9466
angles: 90.00 90.00 90.00
Space group Fmm2 (No. 42)
Asymmetric unit:
P  0.0000  0.0000  0.0000 x4
Ir  0.0000  0.0000  0.6188 x4
Se  0.0000  0.0000  0.2676 x4


The following is a GGA-PBE calculation of crystalline Sm4PIrSe2 at its relaxed geometry, from the Alexandria database.

Results
- ΔE_f (raw): -11.7 eV per formula unit
- E: -6.481 eV per atom

abc: 7.2230 4.1086 7.3208
angles: 90.00 108.51 90.00
Space group P2/m (No. 10)
Asymmetric unit:
Sm  0.2403  0.0000  0.2283 x2
Sm  0.2522  0.5000  0.7724 x2
P  0.5000  0.0000  0.0000 x1
Ir  0.0000  0.5000  0.0000 x1
Se  0.0000  0.0000  0.5000 x1
Se  0.5000  0.5000  0.5000 x1


The following is a GGA-PBE calculation of crystalline SrP2IrSe8 at its relaxed geometry, from the Alexandria database.

Results
- ΔE_f (raw): -4.4 eV per formula unit
- E: -4.471 eV per atom

abc: 6.1143 6.1143 9.0721
angles: 90.00 90.00 120.00
Space group P-3 (No. 147)
Asymmetric unit:
Sr  0.0000  0.0000  0.0000 x1
P  0.3333  0.6667  0.7319 x2
Ir  0.0000  0.0000  0.5000 x1
Se  0.0320  0.6985  0.3263 x6
Se  0.3333  0.6667  0.9747 x2


The following is a GGA-PBE calculation of crystalline Th6P2Ir3Se at its relaxed geometry, from the Alexandria database.

Results
- ΔE_f (raw): -14.5 eV per formula unit
- E: -8.325 eV per atom

abc: 18.5528 4.0917 8.6181
angles: 90.00 107.18 90.00
Space group C2/m (No. 12)
Asymmetric unit:
Th  0.0021  0.0000  0.2318 x4
Th  0.1644  0.5000  0.0886 x4
Th  0.1748  0.5000  0.5778 x4
P  0.1660  0.0000  0.8305 x4
Ir  0.0000  0.5000  0.0000 x2
Ir  0.1653  0.0000  0.3315 x4
Se  0.0000  0.5000  0.5000 x2


The following is a GGA-PBE calculation of crystalline Th4PIrSe2 at its relaxed geometry, from the Alexandria database.

Results
- ΔE_f (raw): -11.5 eV per formula unit
- E: -7.800 eV per atom

abc: 7.3706 4.0860 7.4188
angles: 90.00 108.65 90.00
Space group P2/m (No. 10)
Asymmetric unit:
Th  0.2334  0.0000  0.2243 x2
Th  0.2587  0.5000  0.7692 x2
P  0.5000  0.0000  0.0000 x1
Ir  0.0000  0.5000  0.0000 x1
Se  0.0000  0.0000  0.5000 x1
Se  0.5000  0.5000  0.5000 x1


The following is a GGA-PBE calculation of crystalline Th8PIr3Se4 at its relaxed geometry, from the Alexandria database.

Results
- ΔE_f (raw): -21.6 eV per formula unit
- E: -7.933 eV per atom

abc: 8.3180 8.3180 21.4419
angles: 90.00 90.00 120.00
Space group R-3m (No. 166, hexagonal axes)
Asymmetric unit:
Th  0.0000  0.0000  0.2386 x6
Th  0.0035  0.5017  0.7576 x18
P  0.0000  0.0000  0.5000 x3
Ir  0.0000  0.5000  0.5000 x9
Se  0.0000  0.0000  0.0000 x3
Se  0.0000  0.5000  0.0000 x9